Version w
Material: CrSbTe2
Method: DFT, GGA-PBE
State: optimized geometry

Space-group type: No. 47
Fermi-level density of states in states/eV/atom: 0.69
Magnetization in μB per formula unit: 4.098

a b c (Å): 3.547 5.198 5.507
angles (deg): 90.00 90.00 90.00
Positions (direct):
Cr 0.000 0.000 0.000
Sb 0.500 0.000 0.500
Te 0.000 0.500 0.500
Te 0.500 0.500 0.000



Version x
Material: CrSbTe2
Method: DFT, GGA-PBE
State: optimized geometry

Space-group type: No. 119
Fermi-level density of states in states/eV/atom: 0.79
Magnetization in μB per formula unit: 4.009

a b c (Å): 6.844 6.844 6.844
angles (deg): 144.00 144.00 51.83
Positions (direct):
Cr 0.000 0.000 0.000
Sb 0.250 0.750 0.500
Te 0.500 0.500 0.000
Te 0.750 0.250 0.500



Version y
Material: CrSbTe2
Method: DFT, GGA-PBE
State: optimized geometry

Space-group type: No. 139
Fermi-level density of states in states/eV/atom: 0.40
Magnetization in μB per formula unit: 3.994

a b c (Å): 5.242 5.242 5.242
angles (deg): 108.84 108.84 110.74
Positions (direct):
Cr 0.000 0.000 0.000
Sb 0.500 0.500 0.000
Te 0.000 0.500 0.500
Te 0.500 0.000 0.500



Version z
Material: CrSbTe2
Method: DFT, GGA-PBE
State: optimized geometry

Space-group type: No. 166
Fermi-level density of states in states/eV/atom: 0.83
Magnetization in μB per formula unit: 2.843

a b c (Å): 9.022 9.022 9.022
angles (deg): 23.69 23.69 23.69
Positions (direct):
Cr 0.000 0.000 0.000
Sb 0.500 0.500 0.500
Te 0.271 0.271 0.271
Te 0.729 0.729 0.729



Energy ordering: version z at the bottom, the next structure 5.5 kJ/mol of atoms above.



Version w
Material: CrSbTe2
Method: DFT, GGA-PBE
State: optimized geometry

Space-group type: No. 225
Fermi-level density of states in states/eV/atom: 0.89
Magnetization in μB per formula unit: 0.000

a b c (Å): 5.038 5.038 5.038
angles (deg): 60.00 60.00 60.00
Positions (direct):
Cr 0.000 0.000 0.000
Sb 0.500 0.500 0.500
Te 0.250 0.250 0.250
Te 0.750 0.750 0.750



Version x
Material: CrSbTe2
Method: DFT, GGA-PBE
State: optimized geometry

Space-group type: No. 216
Fermi-level density of states in states/eV/atom: 1.06
Magnetization in μB per formula unit: 3.987

a b c (Å): 5.236 5.236 5.236
angles (deg): 60.00 60.00 60.00
Positions (direct):
Cr 0.000 0.000 0.000
Sb 0.250 0.250 0.250
Te 0.500 0.500 0.500
Te 0.750 0.750 0.750



Version y
Material: CrSbTe2
Method: DFT, GGA-PBE
State: optimized geometry

Space-group type: No. 65
Fermi-level density of states in states/eV/atom: 0.47
Magnetization in μB per formula unit: 4.165

a b c (Å): 5.252 5.252 4.161
angles (deg): 90.00 90.00 108.76
Positions (direct):
Cr 0.000 0.000 0.000
Sb 0.500 0.500 0.000
Te 0.225 0.775 0.500
Te 0.775 0.225 0.500



Version z
Material: CrSbTe2
Method: DFT, GGA-PBE
State: optimized geometry

Space-group type: No. 123
Fermi-level density of states in states/eV/atom: 0.73
Magnetization in μB per formula unit: 0.000

a b c (Å): 3.173 3.173 9.734
angles (deg): 90.00 90.00 90.00
Positions (direct):
Cr 0.000 0.000 0.000
Sb 0.000 0.000 0.500
Te 0.500 0.500 0.167
Te 0.500 0.500 0.833



Energy ordering: version y at the bottom, the next structure 10.7 kJ/mol of atoms above.



Version w
Material: CrSbTe2
Method: DFT, GGA-PBE
State: optimized geometry

Space-group type: No. 44
Fermi-level density of states in states/eV/atom: 0.54
Magnetization in μB per formula unit: 3.463

a b c (Å): 6.948 6.948 6.948
angles (deg): 149.18 140.86 50.63
Positions (direct):
Cr 0.000 0.000 0.000
Sb 0.185 0.685 0.500
Te 0.527 0.527 0.000
Te 0.836 0.336 0.500



Version x
Material: CrSbTe2
Method: DFT, GGA-PBE
State: optimized geometry

Space-group type: No. 8
Fermi-level density of states in states/eV/atom: 0.52
Magnetization in μB per formula unit: 2.225

a b c (Å): 5.302 5.302 7.094
angles (deg): 101.44 101.44 37.08
Positions (direct):
Cr 0.000 0.000 0.000
Sb 0.724 0.724 0.015
Te 0.381 0.381 0.712
Te 0.565 0.565 0.311



Energy ordering: version x at the bottom, the next structure 7.3 kJ/mol of atoms above.



Version w
Material: CrSbTe2
Method: DFT, GGA-PBE
State: optimized geometry

Space-group type: No. 122
Fermi-level density of states in states/eV/atom: 1.59
Magnetization in μB per formula unit: 0.000

a b c (Å): 7.389 7.389 7.389
angles (deg): 125.70 125.70 80.39
Positions (direct):
Cr 0.000 0.000 0.000
Cr 0.750 0.250 0.500
Sb 0.250 0.750 0.500
Sb 0.500 0.500 0.000
Te 0.054 0.625 0.929
Te 0.375 0.304 0.429
Te 0.696 0.125 0.071
Te 0.875 0.946 0.571



Version x
Material: CrSbTe2
Method: DFT, GGA-PBE
State: optimized geometry

Space-group type: No. 65
Fermi-level density of states in states/eV/atom: 0.66
Magnetization in μB per formula unit: 2.915

a b c (Å): 3.202 3.202 10.874
angles (deg): 90.00 90.00 101.97
Positions (direct):
Cr 0.000 0.000 0.000
Sb 0.000 0.000 0.500
Te 0.500 0.500 0.173
Te 0.500 0.500 0.827



Energy ordering: version x at the bottom, the next structure 23.3 kJ/mol of atoms above.



Version w
Material: CrSbTe
Method: DFT, GGA-PBE
State: optimized geometry

Space-group type: No. 216
Fermi-level density of states in states/eV/atom: 0.98
Magnetization in μB per formula unit: 2.879

a b c (Å): 4.721 4.721 4.721
angles (deg): 60.00 60.00 60.00
Positions (direct):
Cr 0.000 0.000 0.000
Sb 0.750 0.750 0.750
Te 0.250 0.250 0.250



Version x
Material: CrSbTe
Method: DFT, GGA-PBE
State: optimized geometry

Space-group type: No. 64
Fermi-level density of states in states/eV/atom: 0.59
Magnetization in μB per formula unit: 0.522

a b c (Å): 5.198 5.198 10.172
angles (deg): 90.00 90.00 78.24
Positions (direct):
Cr 0.184 0.816 0.927
Cr 0.316 0.684 0.427
Cr 0.684 0.316 0.573
Cr 0.816 0.184 0.073
Sb 0.154 0.846 0.202
Sb 0.346 0.654 0.702
Sb 0.654 0.346 0.298
Sb 0.846 0.154 0.798
Te 0.205 0.205 0.500
Te 0.295 0.295 0.000
Te 0.705 0.705 0.000
Te 0.795 0.795 0.500



Version y
Material: CrSbTe
Method: DFT, GGA-PBE
State: optimized geometry

Space-group type: No. 216
Fermi-level density of states in states/eV/atom: 0.76
Magnetization in μB per formula unit: 4.330

a b c (Å): 5.021 5.021 5.021
angles (deg): 60.00 60.00 60.00
Positions (direct):
Cr 0.000 0.000 0.000
Sb 0.250 0.250 0.250
Te 0.500 0.500 0.500



Energy ordering: version w at the bottom, the next structure 6.8 kJ/mol of atoms above.



Version w
Material: CrSbTe
Method: DFT, GGA-PBE
State: optimized geometry

Space-group type: No. 107
Fermi-level density of states in states/eV/atom: 0.32
Magnetization in μB per formula unit: 2.792

a b c (Å): 6.794 6.794 6.794
angles (deg): 151.19 151.19 41.20
Positions (direct):
Cr 0.000 0.000 0.000
Sb 0.639 0.639 0.000
Te 0.385 0.385 0.000



Version x
Material: CrSbTe
Method: DFT, GGA-PBE
State: optimized geometry

Space-group type: No. 156
Fermi-level density of states in states/eV/atom: 0.68
Magnetization in μB per formula unit: 2.292

a b c (Å): 3.674 3.674 6.226
angles (deg): 90.00 90.00 120.00
Positions (direct):
Cr 0.000 0.000 0.000
Sb 0.667 0.333 0.283
Te 0.333 0.667 0.744



Energy ordering: version x at the bottom, the next structure 6.0 kJ/mol of atoms above.



Version w
Material: TiCrSb2Te
Method: DFT, GGA-PBE
State: optimized geometry

Space-group type: No. 123
Fermi-level density of states in states/eV/atom: 1.27
Magnetization in μB per formula unit: 4.682

a b c (Å): 5.037 5.037 5.309
angles (deg): 90.00 90.00 90.00
Positions (direct):
Ti 0.000 0.000 0.000
Cr 0.500 0.500 0.500
Sb 0.000 0.500 0.500
Sb 0.500 0.000 0.500
Te 0.500 0.500 0.000



Version x
Material: TiCrSb2Te
Method: DFT, GGA-PBE
State: optimized geometry

Space-group type: No. 123
Fermi-level density of states in states/eV/atom: 0.75
Magnetization in μB per formula unit: 4.620

a b c (Å): 5.267 5.267 5.284
angles (deg): 90.00 90.00 90.00
Positions (direct):
Ti 0.000 0.000 0.000
Cr 0.500 0.500 0.500
Sb 0.000 0.500 0.000
Sb 0.500 0.000 0.000
Te 0.000 0.000 0.500



Energy ordering: version x at the bottom, the next structure 12.0 kJ/mol of atoms above.



Version w
Material: YCrSbTe2
Method: DFT, GGA-PBE
State: optimized geometry

Space-group type: No. 123
Fermi-level density of states in states/eV/atom: 0.96
Magnetization in μB per formula unit: 3.926

a b c (Å): 5.806 5.806 5.825
angles (deg): 90.00 90.00 90.00
Positions (direct):
Y 0.000 0.000 0.000
Cr 0.500 0.500 0.500
Sb 0.000 0.000 0.500
Te 0.000 0.500 0.000
Te 0.500 0.000 0.000



Version x
Material: YCrSbTe2
Method: DFT, GGA-PBE
State: optimized geometry

Space-group type: No. 123
Fermi-level density of states in states/eV/atom: 0.59
Magnetization in μB per formula unit: 3.046

a b c (Å): 5.313 5.313 5.078
angles (deg): 90.00 90.00 90.00
Positions (direct):
Y 0.000 0.000 0.000
Cr 0.500 0.500 0.500
Sb 0.500 0.500 0.000
Te 0.000 0.500 0.500
Te 0.500 0.000 0.500



Energy ordering: version x at the bottom, the next structure 45.6 kJ/mol of atoms above.